1.
The following is a PBE calculation of ErAlZnCd after structural relaxation, from Alexandria via LeMat-Bulk.

abc: 4.867 4.867 4.867
angles: 60.00 60.00 60.00
Fractional coordinates of all 4 atoms:
Zn 0.000 0.000 0.000
Al 0.750 0.750 0.750
Cd 0.500 0.500 0.500
Er 0.250 0.250 0.250

## Properties
Its space group is F-43m, No. 216. Its formation energy from the elements is -0.197 eV/atom.


2.
The following is a PBE calculation of ErZrAlCd after structural relaxation, from Alexandria via LeMat-Bulk.

abc: 5.008 5.008 5.008
angles: 60.00 60.00 60.00
Fractional coordinates of all 4 atoms:
Zr 0.750 0.750 0.750
Cd 0.500 0.500 0.500
Er 0.250 0.250 0.250
Al 0.000 0.000 0.000

## Properties
Its space group is F-43m, No. 216. Its formation energy from the elements is -0.244 eV/atom.


3.
The following is a PBE calculation of EuAlCd4 after structural relaxation, from Alexandria via LeMat-Bulk.

abc: 5.965 5.965 5.965
angles: 60.00 60.00 60.00
Each line ends with the local moment (μB).
Fractional coordinates of all 6 atoms:
Eu 0.000 0.000 0.000  -6.86
Cd 0.625 0.625 0.625  0.00
Al 0.250 0.250 0.250  0.01
Cd 0.625 0.125 0.625  0.00
Cd 0.625 0.625 0.125  0.00
Cd 0.125 0.625 0.625  0.00

## Properties
Its space group is F-43m, No. 216. Its formation energy from the elements is -0.041 eV/atom.


4.
The following is a PBE calculation of EuAlCd after structural relaxation, from Alexandria via LeMat-Bulk.

abc: 3.684 4.897 4.897
angles: 120.00 90.00 90.00
Each line ends with the local moment (μB).
Fractional coordinates of all 3 atoms:
Cd 0.167 0.000 0.000  0.00
Eu 0.667 0.333 0.667  6.84
Al 0.167 0.667 0.333  -0.01

## Properties
Its space group is P-6m2, No. 187. Its formation energy from the elements is -0.298 eV/atom.


5.
The following is a PBE calculation of EuAlCd after structural relaxation, from Alexandria via LeMat-Bulk.

abc: 3.122 3.122 8.772
angles: 100.25 100.25 90.00
Each line ends with the local moment (μB).
Fractional coordinates of all 3 atoms:
Al 0.943 0.943 0.886  0.00
Eu 0.126 0.126 0.253  7.13
Cd 0.781 0.781 0.562  0.00

## Properties
Its space group is I4mm, No. 107. Its formation energy from the elements is 0.286 eV/atom.


6.
The following is a PBE calculation of Eu2AlCd after structural relaxation, from Alexandria via LeMat-Bulk.

abc: 3.832 3.832 7.856
angles: 90.00 90.00 90.00
Each line ends with the local moment (μB).
Fractional coordinates of all 4 atoms:
Eu 0.000 0.000 0.237  6.82
Al 0.500 0.500 0.000  -0.02
Cd 0.500 0.500 0.500  0.00
Eu 0.000 0.000 0.763  6.82

## Properties
Its space group is P4/mmm, No. 123. Its formation energy from the elements is -0.285 eV/atom.


7.
The following is a PBE calculation of Eu2AlCd after structural relaxation, from Alexandria via LeMat-Bulk.

abc: 3.733 3.733 10.440
angles: 79.70 79.70 60.00
Each line ends with the local moment (μB).
Fractional coordinates of all 4 atoms:
Al 0.000 0.000 0.000  -0.01
Eu 0.254 0.254 0.238  6.96
Cd 0.500 0.500 0.500  0.03
Eu 0.746 0.746 0.762  6.96

## Properties
Its space group is R-3m, No. 166. Its formation energy from the elements is -0.060 eV/atom.


8.
The following is a PBE calculation of LaEuAlCd after structural relaxation, from Alexandria via LeMat-Bulk.

abc: 5.478 5.478 5.478
angles: 60.00 60.00 60.00
Each line ends with the local moment (μB).
Fractional coordinates of all 4 atoms:
Al 0.000 0.000 0.000  0.01
Eu 0.750 0.750 0.750  -6.87
La 0.250 0.250 0.250  -0.08
Cd 0.500 0.500 0.500  -0.01

## Properties
Its space group is F-43m, No. 216. Its formation energy from the elements is -0.308 eV/atom.


9.
The following is a PBE calculation of LiEuAlCd after structural relaxation, from Alexandria via LeMat-Bulk.

abc: 4.997 4.997 4.997
angles: 60.00 60.00 60.00
Each line ends with the local moment (μB).
Fractional coordinates of all 4 atoms:
Li 0.750 0.750 0.750  0.02
Cd 0.500 0.500 0.500  -0.01
Eu 0.000 0.000 0.000  6.81
Al 0.250 0.250 0.250  -0.01

## Properties
Its space group is F-43m, No. 216. Its formation energy from the elements is -0.220 eV/atom.


10.
The following is a PBE calculation of NdEuAlCd after structural relaxation, from Alexandria via LeMat-Bulk.

abc: 5.418 5.418 5.418
angles: 60.00 60.00 60.00
Each line ends with the local moment (μB).
Fractional coordinates of all 4 atoms:
Cd 0.750 0.750 0.750  0.02
Eu 0.500 0.500 0.500  6.87
Al 0.250 0.250 0.250  -0.01
Nd 0.000 0.000 0.000  0.10

## Properties
Its space group is F-43m, No. 216. Its formation energy from the elements is -0.294 eV/atom.


11.
The following is a PBE calculation of PmEuAlCd after structural relaxation, from Alexandria via LeMat-Bulk.

abc: 5.397 5.397 5.397
angles: 60.00 60.00 60.00
Each line ends with the local moment (μB).
Fractional coordinates of all 4 atoms:
Cd 0.750 0.750 0.750  0.02
Al 0.250 0.250 0.250  -0.01
Eu 0.500 0.500 0.500  6.87
Pm 0.000 0.000 0.000  0.11

## Properties
Its space group is F-43m, No. 216. Its formation energy from the elements is -0.295 eV/atom.


12.
The following is a PBE calculation of PrEuAlCd after structural relaxation, from Alexandria via LeMat-Bulk.

abc: 5.439 5.439 5.439
angles: 60.00 60.00 60.00
Each line ends with the local moment (μB).
Fractional coordinates of all 4 atoms:
Pr 0.000 0.000 0.000  0.10
Eu 0.500 0.500 0.500  6.88
Cd 0.250 0.250 0.250  0.02
Al 0.750 0.750 0.750  -0.01

## Properties
Its space group is F-43m, No. 216. Its formation energy from the elements is -0.293 eV/atom.


13.
The following is a PBE calculation of EuScAlCd after structural relaxation, from Alexandria via LeMat-Bulk.

abc: 5.177 5.177 5.177
angles: 60.00 60.00 60.00
Each line ends with the local moment (μB).
Fractional coordinates of all 4 atoms:
Al 0.750 0.750 0.750  -0.01
Eu 0.500 0.500 0.500  6.80
Sc 0.000 0.000 0.000  0.09
Cd 0.250 0.250 0.250  0.02

## Properties
Its space group is F-43m, No. 216. Its formation energy from the elements is -0.248 eV/atom.


14.
The following is a PBE calculation of EuTmAlCd after structural relaxation, from Alexandria via LeMat-Bulk.

abc: 5.291 5.291 5.291
angles: 60.00 60.00 60.00
Each line ends with the local moment (μB).
Fractional coordinates of all 4 atoms:
Tm 0.500 0.500 0.500  0.08
Eu 0.000 0.000 0.000  6.83
Cd 0.750 0.750 0.750  0.02
Al 0.250 0.250 0.250  -0.01

## Properties
Its space group is F-43m, No. 216. Its formation energy from the elements is -0.282 eV/atom.


15.
The following is a PBE calculation of EuYAlCd after structural relaxation, from Alexandria via LeMat-Bulk.

abc: 5.333 5.333 5.333
angles: 60.00 60.00 60.00
Each line ends with the local moment (μB).
Fractional coordinates of all 4 atoms:
Eu 0.250 0.250 0.250  6.84
Cd 0.000 0.000 0.000  0.02
Y 0.750 0.750 0.750  0.07
Al 0.500 0.500 0.500  -0.01

## Properties
Its space group is F-43m, No. 216. Its formation energy from the elements is -0.306 eV/atom.


16.
The following is a PBE calculation of AlCdF3 after structural relaxation, from Alexandria via LeMat-Bulk.

abc: 4.024 4.024 4.024
angles: 90.00 90.00 90.00
Fractional coordinates of all 5 atoms:
F 0.000 0.000 0.500
Al 0.000 0.000 0.000
F 0.500 0.000 0.000
Cd 0.500 0.500 0.500
F 0.000 0.500 0.000

## Properties
The value obtained for the raw total energy is -4.154 eV/atom. Its space group is Pm-3m, No. 221.


17.
The following is a PBE calculation of AlCdF5 after structural relaxation, from Alexandria via LeMat-Bulk.

abc: 5.449 5.449 7.385
angles: 70.36 70.36 73.45
Fractional coordinates of all 14 atoms:
F 0.766 0.784 0.612
F 0.984 0.016 0.250
Al 0.000 0.000 0.000
F 0.711 0.277 0.994
F 0.289 0.723 0.006
F 0.234 0.216 0.388
F 0.016 0.984 0.750
F 0.784 0.766 0.112
Al 0.000 0.000 0.500
F 0.723 0.289 0.506
F 0.216 0.234 0.888
F 0.277 0.711 0.494
Cd 0.513 0.487 0.250
Cd 0.487 0.513 0.750

## Properties
The value obtained for the raw total energy is -4.966 eV/atom. Its space group is C2/c, No. 15.


18.
The following is a PBE calculation of AlCdF4 after structural relaxation, from Alexandria via LeMat-Bulk.

abc: 3.681 7.093 8.864
angles: 121.72 90.00 105.04
Fractional coordinates of all 12 atoms:
F 0.955 0.910 0.582
F 0.381 0.763 0.339
F 0.045 0.090 0.418
Cd 0.885 0.771 0.894
F 0.736 0.472 0.279
Al 0.886 0.772 0.334
Al 0.114 0.228 0.666
F 0.159 0.318 0.892
F 0.264 0.528 0.721
F 0.619 0.237 0.661
Cd 0.115 0.229 0.106
F 0.841 0.682 0.108

## Properties
The value obtained for the raw total energy is -4.880 eV/atom. Its space group is C2/m, No. 12.


19.
The following is a PBE calculation of Al2CdF after structural relaxation, from Alexandria via LeMat-Bulk.

abc: 4.628 4.628 4.628
angles: 60.00 60.00 60.00
Fractional coordinates of all 4 atoms:
Al 0.250 0.250 0.250
Cd 0.500 0.500 0.500
F 0.000 0.000 0.000
Al 0.750 0.750 0.750

## Properties
The value obtained for the raw total energy is -2.917 eV/atom. Its space group is Fm-3m, No. 225.


20.
The following is a PBE calculation of AlCd2F6 after structural relaxation, from Alexandria via LeMat-Bulk.

abc: 5.210 5.210 9.788
angles: 90.00 90.00 90.00
Fractional coordinates of all 18 atoms:
Cd 0.000 0.000 0.657
Al 0.000 0.000 0.000
F 0.173 0.827 0.138
F 0.253 0.747 0.500
F 0.673 0.673 0.638
F 0.173 0.827 0.862
F 0.327 0.327 0.638
Cd 0.500 0.500 0.157
F 0.827 0.173 0.138
Cd 0.500 0.500 0.843
F 0.827 0.173 0.862
Al 0.500 0.500 0.500
F 0.247 0.247 0.000
F 0.327 0.327 0.362
F 0.753 0.753 0.000
F 0.673 0.673 0.362
F 0.747 0.253 0.500
Cd 0.000 0.000 0.343

## Properties
The value obtained for the raw total energy is -4.430 eV/atom. Its space group is P4_2/mnm, No. 136.